This record from Alexandria via LeMat-Bulk describes a relaxed structure of NiHg3Te. The functional is GGA-PBE.

The structure in extended XYZ format:
```
5
Lattice="5.0612 0.0000 0.0000 0.0000 5.0612 0.0000 0.0000 0.0000 5.0612" Properties=species:S:1:pos:R:3 pbc="T T T"
Ni 0.0000 0.0000 0.0000
Hg 0.0000 0.0000 2.5306
Hg 0.0000 2.5306 0.0000
Hg 2.5306 0.0000 0.0000
Te 2.5306 2.5306 2.5306
```

Output
Size of the total moment (μB/atom): 0.000
Calculated volume (Å³/cell): 129.6
ρ (g/cm3): 10.09
E_form (uncorrected) (eV/atom): 0.28